This record from Alexandria describes a relaxed structure of Tb4Sm3Er8. The functional is PBE-GGA.

Properties
- Energy of formation from the pure elements: 0.39 eV per atom
- Total magnetic moment: 0.000 μB/atom
- Calculated volume: 493.4 Å³ per cell
- Electronic total energy: -63.28 eV per cell

Cell lengths 9.2313, 9.2313, 6.7043 Å; angles 111.27, 111.27, 87.69 degrees
Last column: nearest neighbours and their distance in Å.
Fractional positions:
1 Tb 0.0000 0.0000 0.0000  2 Tb 3.35, 4 Er 3.50-3.55
2 Tb 0.0000 0.0000 0.5000  6 Er 3.24-3.46, 2 Tb 3.35
3 Tb 0.0000 0.5000 0.0000  4 Er 3.20-3.33, 2 Sm 3.35
4 Tb 0.5000 0.0000 0.0000  4 Er 3.20-3.33, 2 Sm 3.35
5 Sm 0.0000 0.5000 0.5000  4 Er 3.20-3.33, 2 Tb 3.35
6 Sm 0.5000 0.0000 0.5000  4 Er 3.20-3.33, 2 Tb 3.35
7 Sm 0.5000 0.5000 0.5000  6 Er 3.15-3.21
8 Er 0.2534 0.7466 0.5000  3 Sm 3.15-3.33, 3 Tb 3.24-3.33
9 Er 0.2647 0.2647 0.0075  4 Tb 3.20-3.50, 1 Sm 3.21, 2 Er 3.21-3.49
10 Er 0.2670 0.2670 0.5308  3 Sm 3.20-3.21, 2 Er 3.21-3.49, 2 Tb 3.46-3.55
11 Er 0.3605 0.6395 0.0000  7 Er 3.57-3.63, 2 Tb 3.62, 4 Sm 3.62-3.80
12 Er 0.6395 0.3605 0.0000  7 Er 3.57-3.63, 2 Tb 3.62, 4 Sm 3.62-3.80
13 Er 0.7330 0.7330 0.4692  3 Sm 3.20-3.21, 2 Er 3.21-3.49, 2 Tb 3.46-3.55
14 Er 0.7353 0.7353 0.9925  4 Tb 3.20-3.50, 1 Sm 3.21, 2 Er 3.21-3.49
15 Er 0.7466 0.2534 0.5000  3 Sm 3.15-3.33, 3 Tb 3.24-3.33

***

This record from Alexandria describes a relaxed structure of Tb2Sm4Er3. The functional is PBE-GGA.

Properties
- Energy of formation from the pure elements: 0.05 eV per atom
- Total magnetic moment: 0.000 μB/atom
- ΔE to the lowest computed polymorph: 0.0 meV per atom
- Calculated volume: 580.0 Å³ per cell
- Electronic total energy: -82.78 eV per cell

Cell lengths 9.7508, 9.7508, 7.0342 Å; angles 90.00, 90.00, 119.86 degrees
Last column: nearest neighbours and their distance in Å.
Fractional positions:
1 Tb 0.0302 0.3490 0.0000  1 Tb 3.28, 4 Sm 3.28-3.55, 2 Er 3.51
2 Tb 0.3490 0.0302 0.5000  1 Tb 3.28, 4 Sm 3.28-3.55, 2 Er 3.51
3 Tb 0.6510 0.9698 0.5000  1 Tb 3.28, 4 Sm 3.28-3.55, 2 Er 3.51
4 Tb 0.9698 0.6510 0.0000  1 Tb 3.28, 4 Sm 3.28-3.55, 2 Er 3.51
5 Sm 0.0293 0.6808 0.5000  2 Sm 3.25-3.28, 3 Tb 3.28-3.55, 2 Er 3.48
6 Sm 0.3187 0.3514 0.5000  4 Sm 3.25-3.56, 1 Tb 3.29, 2 Er 3.51
7 Sm 0.3192 0.9707 0.0000  2 Sm 3.25-3.28, 3 Tb 3.28-3.55, 2 Er 3.48
8 Sm 0.3514 0.3187 0.0000  4 Sm 3.25-3.56, 1 Tb 3.29, 2 Er 3.51
9 Sm 0.6486 0.6813 0.0000  4 Sm 3.25-3.56, 1 Tb 3.29, 2 Er 3.51
10 Sm 0.6808 0.0293 0.0000  2 Sm 3.25-3.28, 3 Tb 3.28-3.55, 2 Er 3.48
11 Sm 0.6813 0.6486 0.5000  4 Sm 3.25-3.56, 1 Tb 3.29, 2 Er 3.51
12 Sm 0.9707 0.3192 0.5000  2 Sm 3.25-3.28, 3 Tb 3.28-3.55, 2 Er 3.48
13 Er 0.0000 0.0000 0.2500  2 Er 3.52, 8 Sm 3.71-3.73, 4 Tb 3.71
14 Er 0.0000 0.0000 0.7500  2 Er 3.52, 8 Sm 3.71-3.73, 4 Tb 3.71
15 Er 0.3311 0.6689 0.2500  6 Sm 3.48-3.89, 4 Tb 3.51-3.86, 2 Er 3.52
16 Er 0.3311 0.6689 0.7500  6 Sm 3.48-3.89, 4 Tb 3.51-3.86, 2 Er 3.52
17 Er 0.6689 0.3311 0.2500  6 Sm 3.48-3.89, 4 Tb 3.51-3.86, 2 Er 3.52
18 Er 0.6689 0.3311 0.7500  6 Sm 3.48-3.89, 4 Tb 3.51-3.86, 2 Er 3.52

***

This record from Alexandria describes a relaxed structure of TbSmEr. The functional is PBE-GGA.

Properties
- Energy of formation from the pure elements: 0.07 eV per atom
- Total magnetic moment: 0.000 μB/atom
- ΔE to the lowest computed polymorph: 51.3 meV per atom
- Calculated volume: 95.7 Å³ per cell
- Electronic total energy: -13.70 eV per cell

Cell lengths 5.6491, 5.6491, 3.4640 Å; angles 90.00, 90.00, 120.00 degrees
Last column: nearest neighbours and their distance in Å.
Fractional positions:
1 Tb 0.0000 0.0000 0.0000  3 Er 3.26, 2 Tb 3.46
2 Sm 0.6667 0.3333 0.5000  2 Sm 3.46, 6 Tb 3.69, 6 Er 3.69
3 Er 0.3333 0.6667 0.0000  3 Tb 3.26, 2 Er 3.46

***

This record from Alexandria describes a relaxed structure of Tb4Sm7Er. The functional is PBE-GGA.

Properties
- Energy of formation from the pure elements: 0.23 eV per atom
- Total magnetic moment: 0.022 μB/atom
- ΔE to the lowest computed polymorph: 220.6 meV per atom
- Calculated volume: 403.5 Å³ per cell
- Electronic total energy: -53.41 eV per cell

Cell lengths 8.6038, 8.6038, 9.3319 Å; angles 114.28, 114.28, 40.53 degrees
Last column: nearest neighbours and their distance in Å.
Fractional positions:
1 Tb 0.0729 0.0729 0.1985  4 Sm 3.29-3.66, 2 Tb 3.41-3.69
2 Tb 0.1732 0.1732 0.8891  7 Sm 3.22-3.55
3 Tb 0.8268 0.8268 0.1109  7 Sm 3.22-3.55
4 Tb 0.9271 0.9271 0.8015  4 Sm 3.29-3.66, 2 Tb 3.41-3.69
5 Sm 0.0000 0.0000 0.5000  2 Er 2.98
6 Sm 0.2892 0.2892 0.6211  5 Sm 3.29-3.62, 2 Tb 3.66
7 Sm 0.2918 0.2918 0.2709  1 Er 3.09, 2 Tb 3.22-3.29, 2 Sm 3.29-3.40
8 Sm 0.4179 0.4179 0.0589  2 Sm 3.28-3.40, 3 Tb 3.45-3.55
9 Sm 0.5821 0.5821 0.9411  2 Sm 3.28-3.40, 3 Tb 3.45-3.55
10 Sm 0.7082 0.7082 0.7291  1 Er 3.09, 2 Tb 3.22-3.29, 2 Sm 3.29-3.40
11 Sm 0.7108 0.7108 0.3789  5 Sm 3.29-3.62, 2 Tb 3.66
12 Er 0.5000 0.5000 0.5000  4 Sm 2.98-3.09

***

This record from Alexandria describes a relaxed structure of TbSm8Er2. The functional is PBE-GGA.

Properties
- Energy of formation from the pure elements: 0.17 eV per atom
- Total magnetic moment: 0.000 μB/atom
- Calculated volume: 369.9 Å³ per cell
- Electronic total energy: -49.61 eV per cell

Cell lengths 9.0128, 9.0128, 6.6771 Å; angles 99.39, 99.39, 43.85 degrees
Last column: nearest neighbours and their distance in Å.
Fractional positions:
1 Tb 0.0000 0.0000 0.0000  4 Sm 3.35
2 Sm 0.1740 0.6502 0.5944  5 Sm 3.21-3.53, 1 Tb 3.35, 1 Er 3.46
3 Sm 0.2445 0.2445 0.3173  5 Sm 3.30-3.47, 4 Er 3.37-3.62
4 Sm 0.3498 0.8260 0.4056  5 Sm 3.21-3.53, 1 Tb 3.35, 1 Er 3.46
5 Sm 0.4076 0.4076 0.0892  8 Sm 3.35-3.73, 1 Er 3.66
6 Sm 0.5924 0.5924 0.9108  8 Sm 3.35-3.73, 1 Er 3.66
7 Sm 0.6502 0.1740 0.5944  5 Sm 3.21-3.53, 1 Tb 3.35, 1 Er 3.46
8 Sm 0.7555 0.7555 0.6827  5 Sm 3.30-3.47, 4 Er 3.37-3.62
9 Sm 0.8260 0.3498 0.4056  5 Sm 3.21-3.53, 1 Tb 3.35, 1 Er 3.46
10 Er 0.1995 0.1995 0.8051  7 Sm 3.37-3.66
11 Er 0.8005 0.8005 0.1949  7 Sm 3.37-3.66

***

This record from Alexandria describes a relaxed structure of Tb3Sm2Er2. The functional is PBE-GGA.

Properties
- Energy of formation from the pure elements: 0.12 eV per atom
- Total magnetic moment: 0.000 μB/atom
- ΔE to the lowest computed polymorph: 101.5 meV per atom
- Calculated volume: 227.9 Å³ per cell
- Electronic total energy: -31.63 eV per cell

Cell lengths 8.9119, 8.9119, 8.5272 Å; angles 118.56, 118.56, 22.67 degrees
Last column: nearest neighbours and their distance in Å.
Fractional positions:
1 Tb 0.0000 0.0000 0.0000  4 Tb 3.31-3.50, 2 Er 3.53, 4 Sm 3.57
2 Tb 0.2117 0.2117 0.2987  5 Tb 3.31-3.50, 3 Sm 3.44-3.59, 3 Er 3.58-3.59
3 Tb 0.7883 0.7883 0.7013  5 Tb 3.31-3.50, 3 Sm 3.44-3.59, 3 Er 3.58-3.59
4 Sm 0.4339 0.4339 0.5882  3 Sm 3.31-3.50, 5 Tb 3.44-3.59, 2 Er 3.59
5 Sm 0.5661 0.5661 0.4118  3 Sm 3.31-3.50, 5 Tb 3.44-3.59, 2 Er 3.59
6 Er 0.1490 0.1490 0.8314  4 Er 3.50-3.73, 4 Tb 3.53-3.59, 4 Sm 3.59-3.73
7 Er 0.8510 0.8510 0.1686  4 Er 3.50-3.73, 4 Tb 3.53-3.59, 4 Sm 3.59-3.73

***

This record from Alexandria describes a relaxed structure of Tb4Sm15Er. The functional is PBE-GGA.

Properties
- Energy of formation from the pure elements: 0.02 eV per atom
- Total magnetic moment: 0.000 μB/atom
- Calculated volume: 664.2 Å³ per cell
- Electronic total energy: -93.56 eV per cell

Cell lengths 5.1061, 5.1061, 25.4763 Å; angles 90.00, 90.00, 90.00 degrees
Last column: nearest neighbours and their distance in Å.
Fractional positions:
1 Tb 0.0000 0.0000 0.1001  12 Sm 3.61
2 Tb 0.0000 0.0000 0.3004  12 Sm 3.61
3 Tb 0.0000 0.0000 0.6996  12 Sm 3.61
4 Tb 0.0000 0.0000 0.8999  12 Sm 3.61
5 Sm 0.0000 0.5000 0.0000  8 Sm 3.61, 4 Tb 3.61
6 Sm 0.0000 0.5000 0.2003  4 Tb 3.61, 8 Sm 3.61
7 Sm 0.0000 0.5000 0.4006  2 Er 3.60, 8 Sm 3.60-3.61, 2 Tb 3.61
8 Sm 0.0000 0.5000 0.5994  2 Er 3.60, 8 Sm 3.60-3.61, 2 Tb 3.61
9 Sm 0.0000 0.5000 0.7997  4 Tb 3.61, 8 Sm 3.61
10 Sm 0.5000 0.0000 0.0000  8 Sm 3.61, 4 Tb 3.61
11 Sm 0.5000 0.0000 0.2003  4 Tb 3.61, 8 Sm 3.61
12 Sm 0.5000 0.0000 0.4006  2 Er 3.60, 8 Sm 3.60-3.61, 2 Tb 3.61
13 Sm 0.5000 0.0000 0.5994  2 Er 3.60, 8 Sm 3.60-3.61, 2 Tb 3.61
14 Sm 0.5000 0.0000 0.7997  4 Tb 3.61, 8 Sm 3.61
15 Sm 0.5000 0.5000 0.1001  8 Sm 3.61, 4 Tb 3.61
16 Sm 0.5000 0.5000 0.3006  8 Sm 3.61, 4 Tb 3.61
17 Sm 0.5000 0.5000 0.5000  8 Sm 3.60, 4 Er 3.61
18 Sm 0.5000 0.5000 0.6994  8 Sm 3.61, 4 Tb 3.61
19 Sm 0.5000 0.5000 0.8999  8 Sm 3.61, 4 Tb 3.61
20 Er 0.0000 0.0000 0.5000  12 Sm 3.60-3.61

***

This record from Alexandria describes a relaxed structure of Tb3Sm5Er. The functional is PBE-GGA.

Properties
- Energy of formation from the pure elements: 0.17 eV per atom
- Total magnetic moment: 0.000 μB/atom
- ΔE to the lowest computed polymorph: 0.0 meV per atom
- Calculated volume: 599.9 Å³ per cell
- Electronic total energy: -81.03 eV per cell

Cell lengths 8.8715, 8.8715, 11.5561 Å; angles 108.59, 108.59, 44.64 degrees
Last column: nearest neighbours and their distance in Å.
Fractional positions:
1 Tb 0.0000 0.0000 0.0000  2 Er 3.29, 2 Sm 3.58
2 Tb 0.0000 0.0000 0.5000  2 Er 3.29, 2 Sm 3.58
3 Tb 0.1602 0.3626 0.6298  7 Sm 3.33-3.64, 1 Tb 3.52
4 Tb 0.3626 0.1602 0.1298  7 Sm 3.33-3.64, 1 Tb 3.52
5 Tb 0.6374 0.8398 0.8702  7 Sm 3.33-3.64, 1 Tb 3.52
6 Tb 0.8398 0.6374 0.3702  7 Sm 3.33-3.64, 1 Tb 3.52
7 Sm 0.0785 0.2667 0.8494  1 Sm 3.05, 2 Tb 3.33
8 Sm 0.2667 0.0785 0.3494  1 Sm 3.05, 2 Tb 3.33
9 Sm 0.3143 0.6857 0.2500  1 Er 3.04, 2 Sm 3.05
10 Sm 0.3905 0.3905 0.4505  4 Sm 3.38-3.61, 5 Tb 3.50-3.77, 1 Er 3.76
11 Sm 0.3905 0.3905 0.9505  4 Sm 3.38-3.61, 5 Tb 3.50-3.77, 1 Er 3.76
12 Sm 0.6095 0.6095 0.0495  4 Sm 3.38-3.61, 5 Tb 3.50-3.77, 1 Er 3.76
13 Sm 0.6095 0.6095 0.5495  4 Sm 3.38-3.61, 5 Tb 3.50-3.77, 1 Er 3.76
14 Sm 0.6857 0.3143 0.7500  1 Er 3.04, 2 Sm 3.05
15 Sm 0.7333 0.9215 0.6506  1 Sm 3.05, 2 Tb 3.33
16 Sm 0.9215 0.7333 0.1506  1 Sm 3.05, 2 Tb 3.33
17 Er 0.2350 0.7650 0.7500  1 Sm 3.04, 2 Tb 3.29
18 Er 0.7650 0.2350 0.2500  1 Sm 3.04, 2 Tb 3.29